Below is PmAgSn2 after structural relaxation, with properties calculated at the PBE level.

a = 4.6763 Å, b = 4.6763 Å, c = 6.0574 Å
α = 67.29°, β = 67.29°, γ = 60.00°
Sites, in units of the cell vectors:
Sn: 0.7718 0.7718 0.6847
Sn: 0.2282 0.2282 0.3153
Ag: 0.5000 0.5000 0.5000
Pm: 0.0000 0.0000 0.0000

Output
DFT formation energy   -1.42 eV/f.u.